1.
VASP calculation (GGA-PBE) on a relaxed structure of Li2TlCo.

As for the energy relative to the elements: 0.1991 eV/atom. The calculation puts the density of states at the Fermi level at 5.28 states/eV/cell.

It has space group P4/mmm (No. 123), with a = 3.345 Å, b = 3.345 Å, c = 5.659 Å, α = 90.00°, β = 90.00° and γ = 90.00°. The distinct sites, in fractional coordinates, are Li at (0.000, 0.000, 0.216), Tl at (0.500, 0.500, 0.500) and Co at (0.500, 0.500, 0.000).

2.
VASP calculation (GGA-PBE) on a relaxed structure of Li2Tl2Co.

As for the energy relative to the elements: 0.2696 eV/atom. The calculation puts the density of states at the Fermi level at 10.19 states/eV/cell.

It has space group P4/mbm (No. 127), with a = 7.233 Å, b = 7.233 Å, c = 3.421 Å, α = 90.00°, β = 90.00° and γ = 90.00°. The distinct sites, in fractional coordinates, are Li at (0.132, 0.368, 0.000), Tl at (0.171, 0.671, 0.500) and Co at (0.000, 0.000, 0.000).

3.
VASP calculation (GGA-PBE) on a relaxed structure of Li2TlCo.

As for the energy relative to the elements: 0.1223 eV/atom. The calculation puts the density of states at the Fermi level at 3.26 states/eV/cell.

It has space group P4/mmm (No. 123), with a = 3.852 Å, b = 3.852 Å, c = 4.220 Å, α = 90.00°, β = 90.00° and γ = 90.00°. The distinct sites, in fractional coordinates, are Li at (0.000, 0.500, 0.000), Tl at (0.000, 0.000, 0.500) and Co at (0.500, 0.500, 0.500).

4.
VASP calculation (GGA-PBE) on a relaxed structure of Li2TlCo.

As for the energy relative to the elements: 0.1343 eV/atom. The calculation puts the density of states at the Fermi level at 6.82 states/eV/cell.

It has space group I4/mmm (No. 139), with a = 3.840 Å, b = 3.840 Å, c = 8.449 Å, α = 90.00°, β = 90.00° and γ = 90.00°. The distinct sites, in fractional coordinates, are Li at (0.000, 0.500, 0.250), Tl at (0.000, 0.000, 0.000) and Co at (0.000, 0.000, 0.500).

5.
VASP calculation (GGA-PBE) on a relaxed structure of LiTmTlCo.

As for the energy relative to the elements: -0.0753 eV/atom. The calculation puts the density of states at the Fermi level at 14.62 states/eV/cell.

It has space group F-43m (No. 216), with a = 6.597 Å, b = 6.597 Å, c = 6.597 Å, α = 90.00°, β = 90.00° and γ = 90.00°. The distinct sites, in fractional coordinates, are Li at (0.000, 0.000, 0.000), Tm at (0.250, 0.250, 0.250), Tl at (0.250, 0.250, 0.750) and Co at (0.000, 0.000, 0.500).

6.
VASP calculation (GGA-PBE) on a relaxed structure of LiTl2VCo.

As for the energy relative to the elements: 1.1100 eV/atom. The calculation puts the density of states at the Fermi level at 6.58 states/eV/cell.

It has space group P4/mmm (No. 123), with a = 4.743 Å, b = 4.743 Å, c = 4.493 Å, α = 90.00°, β = 90.00° and γ = 90.00°. The distinct sites, in fractional coordinates, are Li at (0.000, 0.000, 0.000), Tl at (0.000, 0.500, 0.000), V at (0.000, 0.000, 0.500) and Co at (0.500, 0.500, 0.500).

7.
VASP calculation (GGA-PBE) on a relaxed structure of LiTm6Co2.

As for the energy relative to the elements: -0.1444 eV/atom. The calculation puts the density of states at the Fermi level at 38.58 states/eV/cell.

It has space group Immm (No. 71), with a = 9.193 Å, b = 9.446 Å, c = 9.791 Å, α = 90.00°, β = 90.00° and γ = 90.00°. The distinct sites, in fractional coordinates, are Li at (0.000, 0.000, 0.000), Li at (0.000, 0.000, 0.500), Tm at (0.000, 0.200, 0.234), Tm at (0.185, 0.500, 0.179), Tm at (0.219, 0.319, 0.500), Co at (0.000, 0.333, 0.000) and Co at (0.000, 0.500, 0.385).

8.
VASP calculation (GGA-PBE) on a relaxed structure of Li2Tm2Co15.

As for the energy relative to the elements: -0.0875 eV/atom. The calculation puts the density of states at the Fermi level at 57.77 states/eV/cell.

It has space group R-3m (No. 166, hexagonal axes), with a = 8.3314 Å, b = 8.3314 Å, c = 11.9822 Å, α = 90.00°, β = 90.00° and γ = 120.00°. The distinct sites, in fractional coordinates, are Li at (0.0000, 0.0000, 0.0969), Tm at (0.0000, 0.0000, 0.3447), Co at (0.0000, 0.2934, 0.0000), Co at (0.0000, 0.5000, 0.5000) and Co at (0.0044, 0.5022, 0.1528).

Q: What is the formula in the third record?
A: Li2TlCo